A plane-wave DFT calculation with PBE was carried out for crystalline SrLi2Be at its relaxed geometry.

The structure belongs to space group Immm (No. 71); the cell edges are 3.579, 5.345 and 9.872 Å and the angles 90.00°, 90.00° and 90.00°. The distinct sites, in fractional coordinates, are Sr at (0.000, 0.000, 0.000), Li at (0.000, 0.500, 0.196) and Be at (0.000, 0.000, 0.500).

The total energy comes out at -1.988 eV per atom. The density of states at the Fermi level is 0.63 states/eV per atom. The density is 1944 kg/m³. The formation energy is 31.0 kJ per mole of atoms.

=====

A plane-wave DFT calculation with PBE was carried out for crystalline CuRuRh2 at its relaxed geometry.

The structure belongs to space group P2/m (No. 10); the cell edges are 2.723, 3.748 and 5.359 Å and the angles 90.00°, 90.14° and 90.00°. The distinct sites, in fractional coordinates, are Cu at (0.000, 0.000, 0.000), Ru at (0.000, 0.000, 0.500) and Rh at (0.500, 0.500, 0.249).

The total energy comes out at -6.962 eV per atom. The density of states at the Fermi level is 0.93 states/eV per atom. The density is 11247 kg/m³. The formation energy is 5.5 kJ per mole of atoms.

=====

A plane-wave DFT calculation with PBE was carried out for crystalline FeRe2S at its relaxed geometry.

The structure belongs to space group I-42d (No. 122); the cell edges are 5.302, 5.302 and 10.275 Å and the angles 90.00°, 90.00° and 90.00°. The distinct sites, in fractional coordinates, are Fe at (0.000, 0.000, 0.000), Re at (0.243, 0.250, 0.125) and S at (0.000, 0.000, 0.500).

The total energy comes out at -8.570 eV per atom. The formation energy (no corrections) comes out at 0.8011 eV per atom. The density of states at the Fermi level is 0.64 states/eV per atom. The density is 10586 kg/m³.

=====

A plane-wave DFT calculation with PBE was carried out for crystalline DyGaRh3 at its relaxed geometry.

The structure belongs to space group Cmcm (No. 63); the cell edges are 6.902, 14.028 and 4.941 Å and the angles 90.00°, 90.00° and 90.00°. The distinct sites, in fractional coordinates, are Dy at (0.000, 0.119, 0.250), Ga at (0.000, 0.340, 0.250), Rh at (0.000, 0.500, 0.000) and Rh at (0.186, 0.062, 0.750).

The total energy comes out at -5.925 eV per atom. The density of states at the Fermi level is 1.08 states/eV per atom. The density is 7511 kg/m³. The formation energy is 1.1 kJ per mole of atoms.

=====

A plane-wave DFT calculation with PBE was carried out for crystalline Tc2Ag2As at its relaxed geometry.

The structure belongs to space group I4/mmm (No. 139); the cell edges are 3.637, 3.637 and 13.668 Å and the angles 90.00°, 90.00° and 90.00°. The distinct sites, in fractional coordinates, are Tc at (0.000, 0.000, 0.083), Ag at (0.000, 0.500, 0.250) and As at (0.000, 0.000, 0.500).

The total energy comes out at -5.440 eV per atom. The density of states at the Fermi level is 1.16 states/eV per atom. The density is 8938 kg/m³. The formation energy is 74.9 kJ per mole of atoms.

=====

A plane-wave DFT calculation with PBE was carried out for crystalline LaPrZnRh at its relaxed geometry.

The structure belongs to space group F-43m (No. 216); the cell edges are 7.309, 7.309 and 7.309 Å and the angles 90.00°, 90.00° and 90.00°. The distinct sites, in fractional coordinates, are La at (0.000, 0.000, 0.000), Pr at (0.000, 0.000, 0.500), Zn at (0.250, 0.250, 0.750) and Rh at (0.250, 0.250, 0.250).

The total energy comes out at -5.042 eV per atom. The density of states at the Fermi level is 0.58 states/eV per atom. The density is 7625 kg/m³. The formation energy is -44.3 kJ per mole of atoms.

=====

> Which of these has the lowest density?

SrLi2Be